1.
! Fe4ReW (PBEsol, optimized geometry); values from VASP
&SYSTEM
  ibrav = 0, nat = 6, ntyp = 3
/
ATOMIC_SPECIES
Fe 55.84 Fe.upf
Re 186.21 Re.upf
W 183.84 W.upf
CELL_PARAMETERS angstrom
0.000 3.267 3.267
3.267 0.000 3.267
3.267 3.267 0.000
ATOMIC_POSITIONS angstrom
Fe 0.816 0.816 0.816
Fe 2.451 2.451 0.816
Fe 2.451 0.816 2.451
Fe 0.816 2.451 2.451
Re 4.900 4.900 4.900
W 3.267 3.267 3.267
! Formation energy, kJ/mol of atoms: -5.21


2.
! ZrScSb2 (PBEsol, optimized geometry); values from VASP
&SYSTEM
  ibrav = 0, nat = 4, ntyp = 3
/
ATOMIC_SPECIES
Zr 91.22 Zr.upf
Sc 44.96 Sc.upf
Sb 121.76 Sb.upf
CELL_PARAMETERS angstrom
-2.123 2.669 3.937
2.123 -2.669 3.937
2.123 2.669 -3.937
ATOMIC_POSITIONS angstrom
Zr 0.000 0.000 0.000
Sc 0.000 0.000 3.937
Sb 2.123 0.000 2.014
Sb 0.000 2.669 1.923
! ΔE to the lowest computed polymorph, meV/atom: 141


3.
! Ba3NbC (PBEsol, optimized geometry); values from VASP
&SYSTEM
  ibrav = 0, nat = 5, ntyp = 3
/
ATOMIC_SPECIES
Ba 137.33 Ba.upf
Nb 92.91 Nb.upf
C 12.01 C.upf
CELL_PARAMETERS angstrom
5.790 0.000 0.000
0.000 5.790 0.000
0.000 0.000 5.790
ATOMIC_POSITIONS angstrom
Ba 0.000 0.000 2.895
Ba 0.000 2.895 0.000
Ba 2.895 0.000 0.000
Nb 0.000 0.000 0.000
C 2.895 2.895 2.895
! Formation energy, kJ/mol of atoms: 179.38


4.
! CsMnN2 (PBEsol, optimized geometry); values from VASP
&SYSTEM
  ibrav = 0, nat = 8, ntyp = 3
/
ATOMIC_SPECIES
Cs 132.91 Cs.upf
Mn 54.94 Mn.upf
N 14.01 N.upf
CELL_PARAMETERS angstrom
0.000 4.010 4.010
4.010 0.000 4.010
4.010 4.010 0.000
ATOMIC_POSITIONS angstrom
Cs 1.002 1.002 1.002
Cs 7.017 7.017 7.017
Mn 3.007 3.007 3.007
Mn 5.012 5.012 5.012
N 4.010 2.005 2.005
N 2.005 4.010 2.005
N 2.005 2.005 4.010
N 4.010 4.010 4.010
! Electronic total energy, eV per atom: -7.379


5.
! Mg2ZrCuOs (PBEsol, optimized geometry); values from VASP
&SYSTEM
  ibrav = 0, nat = 5, ntyp = 4
/
ATOMIC_SPECIES
Mg 24.30 Mg.upf
Zr 91.22 Zr.upf
Cu 63.55 Cu.upf
Os 190.23 Os.upf
CELL_PARAMETERS angstrom
5.127 0.000 0.000
0.000 5.127 0.000
0.000 0.000 4.485
ATOMIC_POSITIONS angstrom
Mg 0.000 2.564 0.000
Mg 2.564 0.000 0.000
Zr 0.000 0.000 0.000
Cu 0.000 0.000 2.243
Os 2.564 2.564 2.243
! Formation energy, kJ/mol of atoms: 220.44


6.
! CoReMoRh2 (PBEsol, optimized geometry); values from VASP
&SYSTEM
  ibrav = 0, nat = 5, ntyp = 4
/
ATOMIC_SPECIES
Co 58.93 Co.upf
Re 186.21 Re.upf
Mo 95.94 Mo.upf
Rh 102.91 Rh.upf
CELL_PARAMETERS angstrom
4.617 0.000 0.000
0.000 4.617 0.000
0.000 0.000 4.582
ATOMIC_POSITIONS angstrom
Co 0.000 0.000 0.000
Re 2.308 2.308 2.291
Mo 2.308 2.308 0.000
Rh 0.000 2.308 2.291
Rh 2.308 0.000 2.291
! Formation energy, kJ/mol of atoms: 186.15


7.
! Fe6Co (PBEsol, optimized geometry); values from VASP
&SYSTEM
  ibrav = 0, nat = 7, ntyp = 2
/
ATOMIC_SPECIES
Fe 55.84 Fe.upf
Co 58.93 Co.upf
CELL_PARAMETERS angstrom
-1.394 1.394 9.810
1.394 -1.394 9.810
1.394 1.394 -9.810
ATOMIC_POSITIONS angstrom
Fe 0.000 0.000 1.398
Fe 0.000 0.000 4.204
Fe 0.000 0.000 6.993
Fe 0.000 0.000 12.626
Fe 0.000 0.000 15.415
Fe 0.000 0.000 18.221
Co 0.000 0.000 9.810
! ΔE to the lowest computed polymorph, meV/atom: 0
! Formation energy, kJ/mol of atoms: 1.82


8.
! Li2TlTe (PBEsol, optimized geometry); values from VASP
&SYSTEM
  ibrav = 0, nat = 4, ntyp = 3
/
ATOMIC_SPECIES
Li 6.94 Li.upf
Tl 204.38 Tl.upf
Te 127.60 Te.upf
CELL_PARAMETERS angstrom
2.205 1.273 5.512
-2.205 1.273 5.512
0.000 -2.546 5.512
ATOMIC_POSITIONS angstrom
Li 0.000 0.000 3.774
Li 0.000 0.000 12.762
Tl 0.000 0.000 0.000
Te 0.000 0.000 8.268
! ΔE to the lowest computed polymorph, meV/atom: 0


9.
! BaMg2N (PBEsol, optimized geometry); values from VASP
&SYSTEM
  ibrav = 0, nat = 8, ntyp = 3
/
ATOMIC_SPECIES
Ba 137.33 Ba.upf
Mg 24.30 Mg.upf
N 14.01 N.upf
CELL_PARAMETERS angstrom
0.000 4.703 4.703
4.703 0.000 4.703
4.703 4.703 0.000
ATOMIC_POSITIONS angstrom
Ba 1.176 1.176 1.176
Ba 8.230 8.230 8.230
Mg 4.703 2.351 2.351
Mg 2.351 4.703 2.351
Mg 2.351 2.351 4.703
Mg 4.703 4.703 4.703
N 3.527 3.527 3.527
N 5.878 5.878 5.878
! Electronic total energy, eV per atom: -3.699


10.
! Cr2AgMo (PBEsol, optimized geometry); values from VASP
&SYSTEM
  ibrav = 0, nat = 4, ntyp = 3
/
ATOMIC_SPECIES
Cr 52.00 Cr.upf
Ag 107.87 Ag.upf
Mo 95.94 Mo.upf
CELL_PARAMETERS angstrom
1.514 -2.113 0.000
1.514 2.113 0.000
0.000 0.000 8.583
ATOMIC_POSITIONS angstrom
Cr 0.000 0.000 2.035
Cr 0.000 0.000 6.548
Ag 1.514 0.000 4.292
Mo 1.514 0.000 0.000
! ΔE to the lowest computed polymorph, meV/atom: 0
! Formation energy, kJ/mol of atoms: 39.31


11.
! CaZr2Si (PBEsol, optimized geometry); values from VASP
&SYSTEM
  ibrav = 0, nat = 4, ntyp = 3
/
ATOMIC_SPECIES
Ca 40.08 Ca.upf
Zr 91.22 Zr.upf
Si 28.09 Si.upf
CELL_PARAMETERS angstrom
3.232 0.000 0.000
0.000 4.844 0.000
-1.024 0.000 5.612
ATOMIC_POSITIONS angstrom
Ca 0.000 0.000 0.000
Zr 0.323 2.422 4.015
Zr 1.884 2.422 1.598
Si 1.104 0.000 2.806
! Electronic total energy, eV per atom: -6.526


12.
! La3Te (PBEsol, optimized geometry); values from VASP
&SYSTEM
  ibrav = 0, nat = 16, ntyp = 2
/
ATOMIC_SPECIES
La 138.91 La.upf
Te 127.60 Te.upf
CELL_PARAMETERS angstrom
7.954 0.000 0.000
0.000 10.171 0.000
0.000 0.000 6.355
ATOMIC_POSITIONS angstrom
La 0.224 2.543 0.780
La 1.599 0.360 3.918
La 1.599 4.725 3.918
La 2.378 5.446 0.741
La 2.378 9.811 0.741
La 3.753 7.628 3.958
La 4.201 2.543 2.398
La 5.576 0.360 5.615
La 5.576 4.725 5.615
La 6.355 5.446 2.437
La 6.355 9.811 2.437
La 7.730 7.628 5.575
Te 0.785 7.628 2.514
Te 3.192 2.543 5.691
Te 4.762 7.628 0.664
Te 7.169 2.543 3.842
! ΔE to the lowest computed polymorph, meV/atom: 0


13.
! Sb2TeOs (PBEsol, optimized geometry); values from VASP
&SYSTEM
  ibrav = 0, nat = 4, ntyp = 3
/
ATOMIC_SPECIES
Sb 121.76 Sb.upf
Te 127.60 Te.upf
Os 190.23 Os.upf
CELL_PARAMETERS angstrom
5.082 0.000 0.000
0.000 5.082 0.000
0.000 0.000 3.303
ATOMIC_POSITIONS angstrom
Sb 0.000 2.541 0.000
Sb 2.541 0.000 0.000
Te 0.000 0.000 1.652
Os 2.541 2.541 1.652
! Electronic total energy, eV per atom: -5.369


14.
! Ta2InP (PBEsol, optimized geometry); values from VASP
&SYSTEM
  ibrav = 0, nat = 4, ntyp = 3
/
ATOMIC_SPECIES
Ta 180.95 Ta.upf
In 114.82 In.upf
P 30.97 P.upf
CELL_PARAMETERS angstrom
1.581 0.913 8.607
-1.581 0.913 8.607
0.000 -1.825 8.607
ATOMIC_POSITIONS angstrom
Ta 0.000 0.000 0.000
Ta 0.000 0.000 6.480
In 0.000 0.000 12.672
P 0.000 0.000 18.919
! ΔE to the lowest computed polymorph, meV/atom: 162
! Formation energy, kJ/mol of atoms: 2.73


15.
! NaSr3Te (PBEsol, optimized geometry); values from VASP
&SYSTEM
  ibrav = 0, nat = 5, ntyp = 3
/
ATOMIC_SPECIES
Na 22.99 Na.upf
Sr 87.62 Sr.upf
Te 127.60 Te.upf
CELL_PARAMETERS angstrom
6.347 0.000 0.000
0.000 6.347 0.000
0.000 0.000 6.347
ATOMIC_POSITIONS angstrom
Na 0.000 0.000 0.000
Sr 0.000 3.174 3.174
Sr 3.174 0.000 3.174
Sr 3.174 3.174 0.000
Te 3.174 3.174 3.174
! Electronic total energy, eV per atom: -2.525


16.
! GaBrNF2 (PBEsol, optimized geometry); values from VASP
&SYSTEM
  ibrav = 0, nat = 5, ntyp = 4
/
ATOMIC_SPECIES
Ga 69.72 Ga.upf
Br 79.90 Br.upf
N 14.01 N.upf
F 19.00 F.upf
CELL_PARAMETERS angstrom
4.704 0.000 0.000
0.000 4.704 0.000
0.000 0.000 3.643
ATOMIC_POSITIONS angstrom
Ga 0.000 0.000 0.000
Br 2.352 2.352 1.822
N 2.352 2.352 0.000
F 0.000 2.352 1.822
F 2.352 0.000 1.822
! Electronic total energy, eV per atom: -3.387


17.
! MnRh2W (PBEsol, optimized geometry); values from VASP
&SYSTEM
  ibrav = 0, nat = 4, ntyp = 3
/
ATOMIC_SPECIES
Mn 54.94 Mn.upf
Rh 102.91 Rh.upf
W 183.84 W.upf
CELL_PARAMETERS angstrom
3.760 0.000 0.000
0.000 3.760 0.000
0.000 0.000 3.766
ATOMIC_POSITIONS angstrom
Mn 0.000 0.000 0.000
Rh 0.000 1.880 1.883
Rh 1.880 0.000 1.883
W 1.880 1.880 0.000
! ΔE to the lowest computed polymorph, meV/atom: 0
! Formation energy, kJ/mol of atoms: -15.65


18.
! TlCrI2N (PBEsol, optimized geometry); values from VASP
&SYSTEM
  ibrav = 0, nat = 5, ntyp = 4
/
ATOMIC_SPECIES
Tl 204.38 Tl.upf
Cr 52.00 Cr.upf
I 126.90 I.upf
N 14.01 N.upf
CELL_PARAMETERS angstrom
5.735 0.000 0.000
0.000 5.735 0.000
0.000 0.000 3.655
ATOMIC_POSITIONS angstrom
Tl 0.000 0.000 0.000
Cr 2.867 2.867 1.828
I 0.000 2.867 1.828
I 2.867 0.000 1.828
N 2.867 2.867 0.000
! Electronic total energy, eV per atom: -5.074


19.
! LiSiRu2 (PBEsol, optimized geometry); values from VASP
&SYSTEM
  ibrav = 0, nat = 4, ntyp = 3
/
ATOMIC_SPECIES
Li 6.94 Li.upf
Si 28.09 Si.upf
Ru 101.07 Ru.upf
CELL_PARAMETERS angstrom
2.698 0.000 0.000
0.000 2.698 0.000
0.000 0.000 7.628
ATOMIC_POSITIONS angstrom
Li 0.000 0.000 0.000
Si 1.349 1.349 5.550
Ru 0.000 0.000 3.876
Ru 1.349 1.349 2.140
! Electronic total energy, eV per atom: -7.035


20.
! SiMoPt3 (PBEsol, optimized geometry); values from VASP
&SYSTEM
  ibrav = 0, nat = 5, ntyp = 3
/
ATOMIC_SPECIES
Si 28.09 Si.upf
Mo 95.94 Mo.upf
Pt 195.08 Pt.upf
CELL_PARAMETERS angstrom
4.745 0.000 0.000
0.000 4.745 0.000
0.000 0.000 4.745
ATOMIC_POSITIONS angstrom
Si 0.000 0.000 0.000
Mo 2.372 2.372 2.372
Pt 0.000 2.372 2.372
Pt 2.372 0.000 2.372
Pt 2.372 2.372 0.000
! Electronic total energy, eV per atom: -6.304